Density functional theory data (SCAN) for a crystal of SrTc2MoPd relaxed with PBEsol.

Summary:
Uncorrected energy, eV for the cell shown: -152.033
Energy of formation, eV/atom: 1.604
Crystal system: tetragonal

Cell: 4.818 4.818 4.754 Å, 90.00 90.00 90.00°
Space group P4/mmm (No. 123)
Symmetry-distinct sites (fractional):
Sr 0.000 0.000 0.000 [1 per cell]
Tc 0.000 0.500 0.500 [2 per cell]
Mo 0.500 0.500 0.000 [1 per cell]
Pd 0.500 0.500 0.500 [1 per cell]

Density functional theory data (SCAN) for a crystal of TaMo3Pd relaxed with PBEsol.

Summary:
Uncorrected energy, eV for the cell shown: -193.951
Energy of formation, eV/atom: 2.013
Crystal system: cubic
Energy above the lowest structure with this stoichiometry, meV/atom: 109

Cell: 4.607 4.607 4.607 Å, 90.00 90.00 90.00°
Space group Pm-3m (No. 221)
Symmetry-distinct sites (fractional):
Ta 0.000 0.000 0.000 [1 per cell]
Mo 0.000 0.500 0.500 [3 per cell]
Pd 0.500 0.500 0.500 [1 per cell]

Density functional theory data (SCAN) for a crystal of TaMo2Pd relaxed with PBEsol.

Summary:
Uncorrected energy, eV for the cell shown: -672.776
Energy of formation, eV/atom: 0.234
Crystal system: cubic

Cell: 6.312 6.312 6.312 Å, 90.00 90.00 90.00°
Space group Fm-3m (No. 225)
Symmetry-distinct sites (fractional):
Ta 0.000 0.000 0.000 [4 per cell]
Mo 0.250 0.250 0.250 [8 per cell]
Pd 0.000 0.000 0.500 [4 per cell]